VASP calculation (GGA-PBE) on a relaxed LiY2Ga6Fe crystal.

abc: 6.539 6.539 8.357
angles: 128.57 128.57 47.82
Fractional coordinates of all 10 atoms:
Li: 0.000 0.000 0.000
Y: 0.473 0.473 0.229
Y: 0.527 0.527 0.771
Ga: 0.003 0.508 0.247
Ga: 0.150 0.150 0.402
Ga: 0.492 0.997 0.753
Ga: 0.508 0.003 0.247
Ga: 0.850 0.850 0.598
Ga: 0.997 0.492 0.753
Fe: 0.000 0.000 0.500

Values from the calculation:
The space-group type is C2/m (12). The value obtained for the formation energy is -0.31 eV/atom.



VASP calculation (GGA-PBE) on a relaxed Li5Pb3O8 crystal.

abc: 6.382 6.382 6.382
angles: 61.81 61.81 61.81
Fractional coordinates of all 16 atoms:
Li: 0.000 0.000 0.000
Li: 0.000 0.500 0.500
Li: 0.500 0.000 0.500
Li: 0.500 0.500 0.000
Li: 0.500 0.500 0.500
Pb: 0.000 0.000 0.500
Pb: 0.000 0.500 0.000
Pb: 0.500 0.000 0.000
O: 0.237 0.752 0.752
O: 0.248 0.248 0.763
O: 0.248 0.763 0.248
O: 0.253 0.253 0.253
O: 0.747 0.747 0.747
O: 0.752 0.237 0.752
O: 0.752 0.752 0.237
O: 0.763 0.248 0.248

Values from the calculation:
The uncorrected formation energy comes out at -1.337 eV per atom. The space-group type is R-3m (166).



VASP calculation (GGA-PBE) on a relaxed VRuSN2 crystal.

abc: 3.702 3.702 4.865
angles: 90.00 90.00 90.00
Fractional coordinates of all 5 atoms:
V: 0.000 0.000 0.000
Ru: 0.500 0.500 0.500
S: 0.000 0.000 0.500
N: 0.000 0.500 0.000
N: 0.500 0.000 0.000

Values from the calculation:
The energy above the most stable polymorph in this dataset comes out at 0 meV/atom. The uncorrected formation energy comes out at 0.708 eV per atom. The space-group type is P4/mmm (123).



VASP calculation (GGA-PBE) on a relaxed ZrTcMo2 crystal.

abc: 5.491 5.491 5.491
angles: 139.63 139.63 58.42
Fractional coordinates of all 4 atoms:
Zr: 0.000 0.000 0.000
Tc: 0.500 0.500 0.000
Mo: 0.250 0.750 0.500
Mo: 0.750 0.250 0.500

Values from the calculation:
The energy above the most stable polymorph in this dataset comes out at 273 meV/atom. The space-group type is I4/mmm (139). The value obtained for the formation energy is 0.15 eV/atom.



V for every record listed, in sequence, given in Å³/cell: 194; 191; 67; 69.